22
Lattice="4.735 -5.934 0.000 4.735 5.934 0.000 -0.197 0.000 5.066" Properties=species:S:1:pos:R:3 comment="FeW2O8 | Alexandria via LeMat-Bulk | PBE with a Hubbard U | optimized geometry" energy_ev_per_cell=-155.3 sg="C2/c, No. 15" pbc="T T T"
Fe 4.587 3.874 3.799
Fe 4.685 -3.874 1.266
W 2.219 1.050 3.879
W 2.318 -1.050 1.346
W 6.955 1.050 3.720
W 7.053 -1.050 1.187
O 3.586 3.922 2.118
O 1.285 0.771 0.435
O 3.348 2.359 4.395
O 1.186 -0.771 2.968
O 5.785 3.922 0.415
O 3.210 0.473 2.351
O 3.111 -0.473 4.884
O 5.826 2.359 3.204
O 3.446 -2.359 1.862
O 6.161 0.473 0.182
O 6.063 -0.473 2.715
O 3.488 -3.922 4.651
O 8.086 0.771 2.098
O 5.925 -2.359 0.671
O 7.988 -0.771 4.631
O 5.686 -3.922 2.948